No. 1
Below is crystalline NaCuAg3 at its relaxed geometry, with properties calculated at the PBE-GGA level.

a b c (Å): 4.9039 4.9039 4.9039
angles (deg): 90.00 90.00 90.00
Positions (direct):
Ag  0.0000  0.0000  0.5000
Cu  0.5000  0.5000  0.5000
Ag  0.5000  0.0000  0.0000
Na  0.0000  0.0000  0.0000
Ag  0.0000  0.5000  0.0000

Summary:
E above lowest polymorph: 3.54 eV/f.u.
Calculated volume: 23.59 Å³/atom
Space group: Pm-3m (221)


No. 2
Below is crystalline NaCu2Ag2 at its relaxed geometry, with properties calculated at the PBE-GGA level.

a b c (Å): 7.7334 7.7334 2.8698
angles (deg): 90.00 90.00 90.00
Positions (direct):
Ag  0.8217  0.3217  0.5000
Cu  0.6150  0.1150  0.0000
Ag  0.6783  0.8217  0.5000
Cu  0.8850  0.6150  0.0000
Na  0.0000  0.0000  0.0000
Ag  0.3217  0.1783  0.5000
Na  0.5000  0.5000  0.0000
Ag  0.1783  0.6783  0.5000
Cu  0.3850  0.8850  0.0000
Cu  0.1150  0.3850  0.0000

Summary:
E above lowest polymorph: 0.00 eV/f.u.
Calculated volume: 17.16 Å³/atom
Space group: P4/mbm (127)


No. 3
Below is crystalline NaCu2Ag at its relaxed geometry, with properties calculated at the PBE-GGA level.

a b c (Å): 4.3351 4.3351 9.7411
angles (deg): 77.14 77.14 90.00
Positions (direct):
Cu  0.9731  0.6250  0.2500
Na  0.5000  0.5000  0.0000
Ag  0.0000  0.0000  0.0000
Cu  0.7769  0.1250  0.2500
Ag  0.7500  0.2500  0.5000
Cu  0.3750  0.2231  0.7500
Cu  0.8750  0.0269  0.7500
Na  0.2500  0.7500  0.5000

Summary:
E above lowest polymorph: 0.55 eV/f.u.
Calculated volume: 21.72 Å³/atom
Space group: I-42d (122)


No. 4
Below is crystalline NaCuAg2 at its relaxed geometry, with properties calculated at the PBE-GGA level.

a b c (Å): 2.9486 2.9486 9.6722
angles (deg): 81.23 81.23 60.00
Positions (direct):
Ag  0.2589  0.2589  0.2234
Na  0.5000  0.5000  0.5000
Ag  0.7411  0.7411  0.7766
Cu  0.0000  0.0000  0.0000

Summary:
E above lowest polymorph: 0.23 eV/f.u.
Calculated volume: 17.92 Å³/atom
Space group: R-3m (166)


No. 5
Below is crystalline NaCu2Ag2 at its relaxed geometry, with properties calculated at the PBE-GGA level.

a b c (Å): 7.8413 7.8413 2.8228
angles (deg): 90.00 90.00 90.00
Positions (direct):
Na  0.5000  0.5000  0.0000
Ag  0.3679  0.8679  0.0000
Ag  0.1321  0.3679  0.0000
Na  0.0000  0.0000  0.0000
Cu  0.1642  0.6642  0.5000
Cu  0.6642  0.8358  0.5000
Cu  0.3358  0.1642  0.5000
Ag  0.8679  0.6321  0.0000
Cu  0.8358  0.3358  0.5000
Ag  0.6321  0.1321  0.0000

Summary:
E above lowest polymorph: 0.15 eV/f.u.
Calculated volume: 17.36 Å³/atom
Space group: P4/mbm (127)


No. 6
Below is crystalline NaCuAg2 at its relaxed geometry, with properties calculated at the PBE-GGA level.

a b c (Å): 4.0190 4.0190 10.1001
angles (deg): 78.52 78.52 90.00
Positions (direct):
Na  0.5000  0.5000  0.0000
Ag  0.1082  0.6250  0.2500
Cu  0.7500  0.2500  0.5000
Cu  0.0000  0.0000  0.0000
Ag  0.3750  0.3582  0.7500
Ag  0.6418  0.1250  0.2500
Ag  0.8750  0.8918  0.7500
Na  0.2500  0.7500  0.5000

Summary:
E above lowest polymorph: 0.88 eV/f.u.
Calculated volume: 19.57 Å³/atom
Space group: I-42d (122)


No. 7
Below is crystalline NaCu2Ag2 at its relaxed geometry, with properties calculated at the PBE-GGA level.

a b c (Å): 4.0825 4.0825 6.4033
angles (deg): 71.41 71.41 90.00
Positions (direct):
Cu  0.3971  0.3971  0.2058
Na  0.0000  0.0000  0.0000
Ag  0.2500  0.7500  0.5000
Cu  0.6029  0.6029  0.7942
Ag  0.7500  0.2500  0.5000

Summary:
E above lowest polymorph: 0.58 eV/f.u.
Calculated volume: 19.05 Å³/atom
Space group: I4/mmm (139)


No. 8
Below is crystalline NaCu2Ag2 at its relaxed geometry, with properties calculated at the PBE-GGA level.

a b c (Å): 3.6991 3.6991 7.1610
angles (deg): 75.03 75.03 90.00
Positions (direct):
Cu  0.2500  0.7500  0.5000
Ag  0.3933  0.3933  0.2134
Ag  0.6067  0.6067  0.7866
Cu  0.7500  0.2500  0.5000
Na  0.0000  0.0000  0.0000

Summary:
E above lowest polymorph: 0.49 eV/f.u.
Calculated volume: 18.24 Å³/atom
Space group: I4/mmm (139)


No. 9
Below is crystalline NaCuAg2 at its relaxed geometry, with properties calculated at the PBE-GGA level.

a b c (Å): 3.9252 4.2310 4.2310
angles (deg): 90.00 90.00 90.00
Positions (direct):
Cu  0.5000  0.5000  0.5000
Ag  0.0000  0.0000  0.5000
Na  0.5000  0.0000  0.0000
Ag  0.0000  0.5000  0.0000

Summary:
E above lowest polymorph: 0.24 eV/f.u.
Calculated volume: 17.57 Å³/atom
Space group: P4/mmm (123)


No. 10
Below is crystalline NaCuAg2 at its relaxed geometry, with properties calculated at the PBE-GGA level.

a b c (Å): 4.6395 4.6395 4.6395
angles (deg): 60.00 60.00 60.00
Positions (direct):
Ag  0.2500  0.2500  0.2500
Ag  0.7500  0.7500  0.7500
Cu  0.5000  0.5000  0.5000
Na  0.0000  0.0000  0.0000

Summary:
E above lowest polymorph: 0.26 eV/f.u.
Calculated volume: 17.65 Å³/atom
Space group: Fm-3m (225)


No. 11
Below is crystalline NaCu3Ag at its relaxed geometry, with properties calculated at the PBE-GGA level.

a b c (Å): 4.8390 4.8390 4.8390
angles (deg): 90.00 90.00 90.00
Positions (direct):
Na  0.5000  0.5000  0.5000
Cu  0.0000  0.0000  0.5000
Ag  0.0000  0.0000  0.0000
Cu  0.5000  0.0000  0.0000
Cu  0.0000  0.5000  0.0000

Summary:
E above lowest polymorph: 0.00 eV/f.u.
Calculated volume: 22.66 Å³/atom
Space group: Pm-3m (221)


No. 12
Below is crystalline NaCu4Ag at its relaxed geometry, with properties calculated at the PBE-GGA level.

a b c (Å): 5.0029 5.0029 5.0029
angles (deg): 60.00 60.00 60.00
Positions (direct):
Na  0.2500  0.2500  0.2500
Cu  0.6253  0.6253  0.1242
Ag  0.0000  0.0000  0.0000
Cu  0.1242  0.6253  0.6253
Cu  0.6253  0.6253  0.6253
Cu  0.6253  0.1242  0.6253

Summary:
Raw total energy: -20.25 eV for the cell shown
Calculated volume: 14.76 Å³/atom
Space group: F-43m (216)


Number 1: M_tot 0.0000 μB per atom. Number 2: M_tot 0.0000 μB per atom. Number 3: M_tot 0.0000 μB per atom. Number 4: M_tot 0.0000 μB per atom. Number 5: M_tot 0.0000 μB per atom. Number 6: M_tot 0.0000 μB per atom. Number 7: M_tot 0.0000 μB per atom. Number 8: M_tot 0.0000 μB per atom. Number 9: M_tot 0.0000 μB per atom. Number 10: M_tot 0.0000 μB per atom. Number 11: M_tot 0.0000 μB per atom. Number 12: M_tot 0.0000 μB per atom.